This record from the Alexandria database describes crystalline NdCu6Pd4 at its relaxed geometry. The functional is PBE.

a b c (Å): 6.110 6.110 9.622
angles (deg): 90.00 90.00 90.00
Space group I-42m (No. 121)
One atom of each set of equivalent atoms:
Nd 0.000 0.000 0.000 x2
Cu 0.000 0.500 0.000 x4
Cu 0.153 0.153 0.582 x8
Pd 0.228 0.228 0.314 x8

Calculated values
- DOS at the Fermi energy (states/eV per cell) = 6.54
- magnetic moment (μB/cell) = 0.0
- DFT total energy (eV per formula unit) = -50.8
- calculated formation energy (eV/atom) = -0.0625